## one
Co3As2O8 | OQMD | PBE with a Hubbard U | relaxed; crystal system = monoclinic
1.0
6.463 0.000 0.000
0.000 8.493 0.000
-0.154 0.000 11.158
Co As O
12 8 32
Direct
0.111 0.057 0.376
0.111 0.443 0.876
0.258 0.669 0.361
0.258 0.831 0.861
0.389 0.167 0.947
0.389 0.333 0.447
0.611 0.667 0.553
0.611 0.833 0.053
0.742 0.169 0.139
0.742 0.331 0.639
0.889 0.557 0.124
0.889 0.943 0.624
0.108 0.583 0.634
0.108 0.917 0.134
0.397 0.045 0.644
0.397 0.455 0.144
0.603 0.545 0.856
0.603 0.955 0.356
0.892 0.083 0.866
0.892 0.417 0.366
0.029 0.101 0.176
0.029 0.399 0.676
0.071 0.211 0.926
0.071 0.289 0.426
0.172 0.505 0.068
0.172 0.995 0.568
0.208 0.640 0.770
0.208 0.860 0.270
0.305 0.567 0.529
0.305 0.933 0.029
0.359 0.040 0.796
0.359 0.460 0.296
0.423 0.100 0.383
0.423 0.400 0.883
0.461 0.236 0.606
0.461 0.264 0.106
0.539 0.736 0.894
0.539 0.764 0.394
0.577 0.600 0.117
0.577 0.900 0.617
0.641 0.540 0.704
0.641 0.960 0.204
0.695 0.067 0.971
0.695 0.433 0.471
0.792 0.140 0.730
0.792 0.360 0.230
0.828 0.005 0.432
0.828 0.495 0.932
0.929 0.711 0.574
0.929 0.789 0.074
0.971 0.601 0.324
0.971 0.899 0.824

***

## two
Co3As2O8 | OQMD | PBE with a Hubbard U | relaxed; crystal system = monoclinic
1.0
5.812 0.000 0.000
0.000 9.681 0.000
-0.639 0.000 10.278
Co As O
12 8 32
Direct
0.112 0.134 0.464
0.112 0.366 0.964
0.352 0.139 0.216
0.352 0.361 0.716
0.355 0.622 0.557
0.355 0.878 0.057
0.645 0.122 0.943
0.645 0.378 0.443
0.648 0.639 0.284
0.648 0.861 0.784
0.888 0.634 0.036
0.888 0.866 0.536
0.127 0.054 0.795
0.127 0.446 0.295
0.365 0.655 0.880
0.365 0.845 0.380
0.635 0.155 0.620
0.635 0.345 0.120
0.873 0.554 0.705
0.873 0.946 0.205
0.110 0.009 0.131
0.110 0.491 0.631
0.120 0.005 0.634
0.120 0.495 0.134
0.130 0.231 0.805
0.130 0.269 0.305
0.151 0.733 0.963
0.151 0.767 0.463
0.369 0.021 0.382
0.369 0.479 0.882
0.377 0.514 0.376
0.377 0.986 0.876
0.383 0.724 0.727
0.383 0.776 0.227
0.397 0.244 0.546
0.397 0.256 0.046
0.603 0.744 0.954
0.603 0.756 0.454
0.617 0.224 0.773
0.617 0.276 0.273
0.623 0.014 0.124
0.623 0.486 0.624
0.631 0.521 0.118
0.631 0.979 0.618
0.849 0.233 0.537
0.849 0.267 0.037
0.870 0.731 0.695
0.870 0.769 0.195
0.880 0.505 0.866
0.880 0.995 0.366
0.890 0.509 0.369
0.890 0.991 0.869

***

Which one is most stable, and which one is least stable? two is the most stable of them, while one is the least stable.

***

## one
Co2As2O5 | OQMD | PBE with a Hubbard U | relaxed; crystal system = tetragonal
1.0
3.959 0.000 0.000
0.000 3.959 0.000
0.000 0.000 6.363
Co As O
2 2 5
Direct
0.000 0.000 0.000
0.000 0.000 0.500
0.500 0.500 0.215
0.500 0.500 0.785
0.000 0.500 0.217
0.000 0.500 0.783
0.500 0.000 0.217
0.500 0.000 0.783
0.500 0.500 0.500

***

## two
Co2As2O5 | OQMD | PBE with a Hubbard U | relaxed; crystal system = tetragonal
1.0
3.556 0.000 0.000
0.000 3.556 0.000
0.000 0.000 7.862
Co As O
2 2 5
Direct
0.000 0.000 0.241
0.000 0.000 0.759
0.500 0.500 0.000
0.500 0.500 0.500
0.000 0.000 0.000
0.000 0.500 0.349
0.000 0.500 0.651
0.500 0.000 0.349
0.500 0.000 0.651

***

Which one is most stable, and which one is least stable? one is the most stable of them, while two is the least stable.